(1)
Below is a relaxed structure of AcHgTe3, with properties calculated at the GGA-PBE level.

Calculated values
Formation energy from raw total energies in eV/atom: -0.63
Raw total energy in eV per atom: -3.4012
Mass density in Mg/m³: 6.0

a b c (Å): 11.1065 12.1228 6.6422
angles (deg): 90.00 90.00 90.00
Atoms (fractional coordinates):
Ac 0.0000 0.0000 0.0000
Ac 0.0000 0.5000 0.0000
Ac 0.5000 0.0000 0.5000
Ac 0.5000 0.5000 0.5000
Hg 0.1823 0.2500 0.4951
Hg 0.3177 0.7500 0.9951
Hg 0.6823 0.2500 0.0049
Hg 0.8177 0.7500 0.5049
Te 0.0108 0.2500 0.8190
Te 0.2231 0.0360 0.3394
Te 0.2231 0.4640 0.3394
Te 0.2769 0.5360 0.8394
Te 0.2769 0.9640 0.8394
Te 0.4892 0.7500 0.3190
Te 0.5108 0.2500 0.6810
Te 0.7231 0.0360 0.1606
Te 0.7231 0.4640 0.1606
Te 0.7769 0.5360 0.6606
Te 0.7769 0.9640 0.6606
Te 0.9892 0.7500 0.1810

=====

(2)
Below is a relaxed structure of NdMg3Cd3, with properties calculated at the GGA-PBE level.

Calculated values
Raw total energy in eV per atom: -1.3821
Mass density in Mg/m³: 4.3

a b c (Å): 7.5287 7.5287 7.5287
angles (deg): 90.00 90.00 90.00
Atoms (fractional coordinates):
Nd 0.0000 0.0000 0.0000
Nd 0.5000 0.5000 0.5000
Mg 0.0000 0.2500 0.5000
Mg 0.0000 0.7500 0.5000
Mg 0.2500 0.5000 0.0000
Mg 0.5000 0.0000 0.2500
Mg 0.5000 0.0000 0.7500
Mg 0.7500 0.5000 0.0000
Cd 0.0000 0.5000 0.2500
Cd 0.0000 0.5000 0.7500
Cd 0.2500 0.0000 0.5000
Cd 0.5000 0.2500 0.0000
Cd 0.5000 0.7500 0.0000
Cd 0.7500 0.0000 0.5000